# 1
Tm4Ag3Hg | PBE-GGA | optimized geometry

Values from the calculation:
calculated density: 10.6 g/cm³
space-group type: No. 47
distance to the lowest polymorph of the same formula: 0.0000 eV per atom
ΔH_f (0 K): -0.373 eV per atom

Cell lengths 3.602, 5.117, 10.220 Å; angles 90.00, 90.00, 90.00 degrees
Positions (direct):
Ag: 0.500 0.000 0.749
Ag: 0.500 0.500 0.500
Ag: 0.500 0.000 0.251
Tm: 0.000 0.000 0.000
Tm: 0.000 0.500 0.746
Tm: 0.000 0.000 0.500
Tm: 0.000 0.500 0.254
Hg: 0.500 0.500 0.000



# 2
K4AgSe2 | PBE-GGA | optimized geometry

Values from the calculation:
calculated density: 2.7 g/cm³
ΔE_f (raw): -0.75 eV per atom
space-group type: No. 166

Cell lengths 5.627, 5.627, 10.167 Å; angles 73.94, 73.94, 60.00 degrees
Positions (direct):
K: 0.792 0.792 0.625
K: 0.387 0.387 0.838
K: 0.208 0.208 0.375
K: 0.613 0.613 0.162
Se: 0.091 0.091 0.728
Se: 0.909 0.909 0.272
Ag: 0.000 0.000 0.000



# 3
YInIr3 | PBE-GGA | optimized geometry

Values from the calculation:
calculated density: 10.5 g/cm³
space-group type: No. 221
distance to the lowest polymorph of the same formula: 0.7121 eV per atom
ΔH_f (0 K): 1.696 eV per atom

Cell lengths 4.975, 4.975, 4.975 Å; angles 90.00, 90.00, 90.00 degrees
Each line ends with the local moment (μB).
Positions (direct):
Ir: 0.500 0.000 0.000  0.24
Ir: 0.000 0.500 0.000  0.35
Ir: 0.000 0.000 0.500  0.41
Y: 0.000 0.000 0.000  -0.04
In: 0.500 0.500 0.500  0.00



# 4
VGa2Rh8 | PBE-GGA | optimized geometry

Values from the calculation:
calculated density: 10.8 g/cm³
space-group type: No. 12
ΔH_f (0 K): -0.330 eV per atom

Cell lengths 3.892, 6.108, 7.090 Å; angles 105.86, 105.93, 90.00 degrees
Positions (direct):
V: 0.500 0.000 0.000
Rh: 0.867 0.824 0.733
Rh: 0.042 0.728 0.083
Rh: 0.133 0.176 0.267
Rh: 0.403 0.547 0.805
Rh: 0.678 0.915 0.356
Rh: 0.322 0.085 0.644
Rh: 0.597 0.453 0.195
Rh: 0.958 0.272 0.917
Ga: 0.224 0.652 0.449
Ga: 0.776 0.348 0.551



# 5
Y2VZnC | PBE-GGA | optimized geometry

Values from the calculation:
calculated density: 5.2 g/cm³
space-group type: No. 123
ΔH_f (0 K): -0.248 eV per atom

Cell lengths 4.976, 4.976, 3.978 Å; angles 90.00, 90.00, 90.00 degrees
Each line ends with the local moment (μB).
Positions (direct):
Y: 0.000 0.500 0.000  0.04
Y: 0.500 0.000 0.000  0.04
V: 0.000 0.000 0.500  1.58
C: 0.000 0.000 0.000  -0.09
Zn: 0.500 0.500 0.500  -0.03



# 6
Y7AlSe5 | PBE-GGA | optimized geometry

Values from the calculation:
calculated density: 5.3 g/cm³
ΔE_f (raw): -1.44 eV per atom
space-group type: No. 11

Cell lengths 4.028, 7.046, 24.255 Å; angles 90.00, 90.00, 106.62 degrees
Positions (direct):
Y: 0.188 0.376 0.321
Y: 0.905 0.810 0.381
Y: 0.813 0.625 0.679
Y: 0.905 0.810 0.119
Y: 0.813 0.625 0.821
Y: 0.188 0.376 0.179
Y: 0.639 0.277 0.036
Y: 0.476 0.951 0.250
Y: 0.096 0.191 0.881
Y: 0.362 0.724 0.964
Y: 0.096 0.191 0.619
Y: 0.525 0.050 0.750
Y: 0.639 0.277 0.464
Y: 0.362 0.724 0.536
Se: 0.000 0.001 0.500
Se: 0.724 0.448 0.928
Se: 0.551 0.102 0.359
Se: 0.551 0.102 0.141
Se: 0.276 0.553 0.072
Se: 0.276 0.553 0.428
Se: 0.724 0.448 0.572
Se: 0.450 0.899 0.641
Se: 0.000 0.001 0.000
Se: 0.450 0.900 0.859
Al: 0.191 0.383 0.750
Al: 0.810 0.619 0.250



# 7
Ti12In3Sn | PBE-GGA | optimized geometry

Values from the calculation:
calculated density: 6.0 g/cm³
space-group type: No. 47
ΔH_f (0 K): -0.163 eV per atom

Cell lengths 5.244, 5.245, 10.467 Å; angles 90.00, 90.00, 90.00 degrees
Positions (direct):
Ti: 0.500 0.000 0.374
Ti: 0.000 0.250 0.749
Ti: 0.250 0.500 0.000
Ti: 0.250 0.500 0.500
Ti: 0.500 0.000 0.124
Ti: 0.000 0.750 0.749
Ti: 0.000 0.750 0.251
Ti: 0.500 0.000 0.626
Ti: 0.750 0.500 0.500
Ti: 0.500 0.000 0.876
Ti: 0.000 0.250 0.251
Ti: 0.750 0.500 0.000
Sn: 0.000 0.000 0.500
In: 0.500 0.500 0.750
In: 0.500 0.500 0.250
In: 0.000 0.000 0.000



# 8
GdTmRu | PBE-GGA | optimized geometry

Values from the calculation:
calculated density: 10.4 g/cm³
space-group type: No. 156
distance to the lowest polymorph of the same formula: 0.2002 eV per atom
ΔH_f (0 K): -0.148 eV per atom

Cell lengths 3.584, 4.694, 4.694 Å; angles 120.00, 90.00, 90.00 degrees
Each line ends with the local moment (μB).
Positions (direct):
Tm: 0.070 0.000 0.000  0.10
Ru: 0.317 0.333 0.667  -0.08
Gd: 0.613 0.667 0.333  7.13